(1)
A relaxed Li3Y crystal, computed with PBE.

abc: 3.4739 3.4739 7.6178
angles: 90.00 90.00 90.00
Last column: magnetic moment on the atom in μB.
Sites, in units of the cell vectors:
Li 0.0000 0.0000 0.0422  0.00
Li 0.5000 0.5000 0.2500  0.00
Li 0.0000 0.0000 0.4578  0.00
Y 0.5000 0.5000 0.7500  0.07

Computed properties:
Formation enthalpy at 0 K   104 meV/atom
SG   P4/mmm
Total moment   0.1 μB per cell

(2)
A relaxed LiY crystal, computed with PBE.

abc: 3.7202 3.7202 3.7202
angles: 90.00 90.00 90.00
Sites, in units of the cell vectors:
Y 0.0000 0.0000 0.0000
Li 0.5000 0.5000 0.5000

Computed properties:
Formation enthalpy at 0 K   129 meV/atom
SG   Pm-3m
Total moment   0.0 μB per cell

(3)
A relaxed Li3Y crystal, computed with PBE.

abc: 6.5606 6.5606 10.2048
angles: 90.00 90.00 120.00
Last column: magnetic moment on the atom in μB.
Sites, in units of the cell vectors:
Li 0.0000 0.5000 0.0000  0.04
Li 0.1788 0.8212 0.7500  0.01
Li 0.6424 0.8212 0.7500  0.01
Li 0.5000 0.0000 0.0000  0.04
Li 0.8212 0.6424 0.2500  0.01
Li 0.5000 0.0000 0.5000  0.04
Li 0.8212 0.1788 0.2500  0.01
Li 0.3576 0.1788 0.2500  0.01
Li 0.5000 0.5000 0.0000  0.04
Li 0.5000 0.5000 0.5000  0.04
Li 0.1788 0.3576 0.7500  0.01
Li 0.0000 0.5000 0.5000  0.04
Y 0.0000 0.0000 0.5000  0.29
Y 0.0000 0.0000 0.0000  0.29
Y 0.6667 0.3333 0.7500  0.33
Y 0.3333 0.6667 0.2500  0.33

Computed properties:
Formation enthalpy at 0 K   212 meV/atom
SG   P6_3/mmc
Total moment   3.7 μB per cell

(4)
A relaxed Li3Y crystal, computed with PBE.

abc: 5.5672 5.5672 3.2513
angles: 90.00 90.00 105.46
Sites, in units of the cell vectors:
Li 0.0000 0.5000 0.5000
Li 0.5000 0.5000 0.0000
Li 0.5000 0.0000 0.5000
Y 0.0000 0.0000 0.0000

Computed properties:
Formation enthalpy at 0 K   178 meV/atom
SG   Cmmm
Total moment   0.0 μB per cell

(5)
A relaxed LiY3 crystal, computed with PBE.

abc: 3.5751 3.5751 11.0539
angles: 90.00 90.00 120.00
Sites, in units of the cell vectors:
Y 0.6667 0.3333 0.2427
Y 0.0000 0.0000 0.5000
Y 0.6667 0.3333 0.7573
Li 0.0000 0.0000 0.0000

Computed properties:
Formation enthalpy at 0 K   98 meV/atom
SG   P-6m2
Total moment   0.2 μB per cell

(6)
A relaxed LiY crystal, computed with PBE.

abc: 6.1986 6.1986 6.1986
angles: 138.11 138.11 60.74
Sites, in units of the cell vectors:
Li 0.0000 0.0000 0.0000
Li 0.2500 0.7500 0.5000
Y 0.7500 0.2500 0.5000
Y 0.5000 0.5000 0.0000

Computed properties:
Formation enthalpy at 0 K   222 meV/atom
SG   I4_1/amd
Total moment   0.0 μB per cell

(7)
A relaxed LiY crystal, computed with PBE.

abc: 3.4842 3.4878 10.5623
angles: 90.03 90.00 119.90
Sites, in units of the cell vectors:
Li 0.3357 0.0269 0.0040
Li 0.0034 0.3641 0.7871
Y 0.6686 0.6988 0.5311
Y 0.0014 0.3632 0.2627

Computed properties:
Formation enthalpy at 0 K   96 meV/atom
SG   P1
Total moment   0.0 μB per cell

(8)
A relaxed LiY3 crystal, computed with PBE.

abc: 7.0004 7.0004 11.2831
angles: 90.00 90.00 120.00
Last column: magnetic moment on the atom in μB.
Sites, in units of the cell vectors:
Li 0.3333 0.6667 0.2500  0.00
Li 0.0000 0.0000 0.5000  0.00
Li 0.0000 0.0000 0.0000  0.00
Li 0.6667 0.3333 0.7500  0.00
Y 0.0000 0.5000 0.0000  0.06
Y 0.1656 0.3313 0.7500  0.10
Y 0.3313 0.1656 0.2500  0.10
Y 0.5000 0.5000 0.5000  0.06
Y 0.5000 0.0000 0.5000  0.06
Y 0.8344 0.6687 0.2500  0.10
Y 0.6687 0.8344 0.7500  0.10
Y 0.8344 0.1656 0.2500  0.10
Y 0.0000 0.5000 0.5000  0.06
Y 0.1656 0.8344 0.7500  0.10
Y 0.5000 0.0000 0.0000  0.06
Y 0.5000 0.5000 0.0000  0.06

Computed properties:
Formation enthalpy at 0 K   185 meV/atom
SG   P6_3/mmc
Total moment   1.7 μB per cell

(9)
A relaxed Li3Y crystal, computed with PBE.

abc: 3.6473 3.6473 13.9482
angles: 90.00 90.00 90.00
Last column: magnetic moment on the atom in μB.
Sites, in units of the cell vectors:
Li 0.5000 0.0000 0.3323  0.00
Li 0.0000 0.5000 0.2296  0.00
Li 0.0000 0.5000 0.4442  0.00
Li 0.5000 0.0000 0.5558  0.00
Li 0.0000 0.5000 0.6677  0.00
Li 0.5000 0.0000 0.7704  0.00
Y 0.0000 0.5000 0.9162  0.09
Y 0.5000 0.0000 0.0838  0.09

Computed properties:
Formation enthalpy at 0 K   44 meV/atom
SG   P4/nmm
Total moment   0.3 μB per cell

(10)
A relaxed LiY crystal, computed with PBE.

abc: 5.7409 5.7409 5.7409
angles: 34.76 34.76 34.76
Sites, in units of the cell vectors:
Y 0.5000 0.5000 0.5000
Li 0.0000 0.0000 0.0000

Computed properties:
Formation enthalpy at 0 K   190 meV/atom
SG   R-3m
Total moment   0.0 μB per cell

(11)
A relaxed LiY5 crystal, computed with PBE.

abc: 9.3013 9.3013 5.6484
angles: 90.00 90.00 157.60
Last column: magnetic moment on the atom in μB.
Sites, in units of the cell vectors:
Y 0.1114 0.8886 0.5000  0.08
Y 0.6620 0.3380 0.0000  0.02
Y 0.3326 0.6674 0.0000  0.01
Y 0.4490 0.5510 0.5000  0.14
Y 0.7791 0.2209 0.5000  0.00
Li 0.9992 0.0008 0.0000  0.00

Computed properties:
Formation enthalpy at 0 K   91 meV/atom
SG   Amm2
Total moment   0.5 μB per cell

(12)
A relaxed LiY3 crystal, computed with PBE.

abc: 5.2334 3.5106 6.7592
angles: 73.75 90.00 90.00
Sites, in units of the cell vectors:
Y 0.0000 0.5000 0.5000
Y 0.5000 0.8376 0.7618
Y 0.5000 0.1624 0.2382
Li 0.0000 0.0000 0.0000

Computed properties:
Formation enthalpy at 0 K   136 meV/atom
SG   P2/m
Total moment   0.0 μB per cell

(13)
A relaxed LiY crystal, computed with PBE.

abc: 10.8263 10.8263 10.8263
angles: 18.49 18.49 18.49
Sites, in units of the cell vectors:
Y 0.4971 0.4971 0.4971
Y 0.2529 0.2529 0.2529
Li 0.7445 0.7445 0.7445
Li 0.0055 0.0055 0.0055

Computed properties:
Formation enthalpy at 0 K   89 meV/atom
SG   R-3m
Total moment   0.0 μB per cell

(14)
A relaxed LiY crystal, computed with PBE.

abc: 3.4937 3.4937 31.5522
angles: 90.00 90.00 120.00
Sites, in units of the cell vectors:
Li 0.3333 0.6667 0.9642
Li 0.0000 0.0000 0.2975
Li 0.0000 0.0000 0.7025
Li 0.6667 0.3333 0.6308
Li 0.6667 0.3333 0.0358
Li 0.3333 0.6667 0.3692
Y 0.3333 0.6667 0.5449
Y 0.6667 0.3333 0.2116
Y 0.3333 0.6667 0.7884
Y 0.0000 0.0000 0.1218
Y 0.6667 0.3333 0.4551
Y 0.0000 0.0000 0.8782

Computed properties:
Formation enthalpy at 0 K   96 meV/atom
SG   R-3m
Total moment   0.0 μB per cell

Number 1: offset from the most stable computed form 60 meV per atom, D(E_F) 3.85 states/eV per cell. Number 2: offset from the most stable computed form 73 meV per atom, D(E_F) 1.99 states/eV per cell. Number 3: offset from the most stable computed form 167 meV per atom, D(E_F) 15.35 states/eV per cell. Number 4: offset from the most stable computed form 133 meV per atom, D(E_F) 3.00 states/eV per cell. Number 5: offset from the most stable computed form 39 meV per atom, D(E_F) 6.23 states/eV per cell. Number 6: offset from the most stable computed form 166 meV per atom, D(E_F) 3.78 states/eV per cell. Number 7: offset from the most stable computed form 39 meV per atom, D(E_F) 3.13 states/eV per cell. Number 8: offset from the most stable computed form 125 meV per atom, D(E_F) 26.34 states/eV per cell. Number 9: offset from the most stable computed form 0 meV per atom, D(E_F) 6.18 states/eV per cell. Number 10: offset from the most stable computed form 134 meV per atom, D(E_F) 2.45 states/eV per cell. Number 11: offset from the most stable computed form 41 meV per atom, D(E_F) 9.46 states/eV per cell. Number 12: offset from the most stable computed form 76 meV per atom, D(E_F) 5.02 states/eV per cell. Number 13: offset from the most stable computed form 33 meV per atom, D(E_F) 2.16 states/eV per cell. Number 14: offset from the most stable computed form 40 meV per atom, D(E_F) 10.85 states/eV per cell.